(1)
DFT (PBE-GGA) results for HoGa4Pd2 after structural relaxation. Values from VASP.

The structure in Quantum ESPRESSO input format:
```
&SYSTEM
  ibrav = 0, nat = 28, ntyp = 3
/
ATOMIC_SPECIES
Pd 106.42 Pd.upf
Ga 69.72 Ga.upf
Ho 164.93 Ho.upf
CELL_PARAMETERS angstrom
-0.087 1.247 -4.132
5.062 -3.884 -1.279
-11.040 -13.159 -3.737
ATOMIC_POSITIONS angstrom
Pd -3.944 -6.181 -5.164
Pd 3.413 -3.047 -2.119
Pd -5.647 -10.363 -6.390
Pd -3.727 -13.709 -5.185
Pd -2.338 -2.087 -3.963
Pd -0.418 -5.433 -2.758
Pd -2.121 -9.615 -3.984
Pd -9.478 -12.749 -7.029
Ga -5.152 -7.383 -3.246
Ga -5.112 -12.741 -7.119
Ga -8.211 -10.543 -6.390
Ga -0.953 -3.055 -2.029
Ga 0.181 -5.987 -5.193
Ga -4.099 -11.277 -4.443
Ga 1.286 -1.508 -1.610
Ga -6.246 -9.809 -3.955
Ga -7.351 -14.288 -7.538
Ga -3.812 -8.639 -5.909
Ga 2.146 -5.253 -2.758
Ga 4.087 -3.885 -4.641
Ga -2.252 -7.157 -3.239
Ga -0.913 -8.413 -5.902
Ga -1.966 -4.520 -4.705
Ga -10.151 -11.911 -4.507
Ho 0.978 -2.904 -4.279
Ho -7.043 -12.893 -4.869
Ho -2.137 -11.328 -6.755
Ho -3.928 -4.468 -2.393
```


(2)
DFT (PBE-GGA) results for Ho2Ga9Pd3 after structural relaxation. Values from VASP.

The structure in Quantum ESPRESSO input format:
```
&SYSTEM
  ibrav = 0, nat = 28, ntyp = 3
/
ATOMIC_SPECIES
Pd 106.42 Pd.upf
Ga 69.72 Ga.upf
Ho 164.93 Ho.upf
CELL_PARAMETERS angstrom
7.083 -0.014 -2.986
-4.153 6.468 -0.010
0.261 0.194 10.556
ATOMIC_POSITIONS angstrom
Pd 1.596 3.324 3.780
Pd -0.212 2.194 -0.504
Pd 3.403 4.454 8.064
Pd -2.182 5.471 4.793
Pd 5.373 1.176 2.767
Pd 3.541 -0.007 -1.493
Ga -1.299 4.492 0.164
Ga 3.549 0.572 1.038
Ga 2.860 5.652 3.451
Ga 2.440 2.340 -0.832
Ga 3.681 3.144 2.113
Ga -0.357 6.075 6.522
Ga 1.210 1.911 1.635
Ga 0.332 0.995 4.109
Ga 3.232 1.351 4.386
Ga -2.952 6.501 9.434
Ga 5.873 0.937 5.305
Ga -2.681 5.710 2.255
Ga 1.981 4.736 5.925
Ga -0.489 3.503 5.447
Ga 0.751 4.307 8.392
Ga -0.040 5.297 3.174
Ga 4.490 2.156 7.396
Ga 6.143 0.146 -1.874
Ho 1.670 4.896 0.653
Ho -2.229 3.925 7.923
Ho 5.420 2.722 -0.363
Ho 1.521 1.751 6.907
```


| no. | formation enthalpy at 0 K (eV per atom) | DOS at the Fermi energy (states/eV per cell) | E_tot (eV/atom) |
| --- | --- | --- | --- |
| 1 | -0.6752 | 9.80 | -4.54 |
| 2 | -0.5957 | 10.42 | -4.31 |